No. 1
Computed, not measured: a geometry-optimized AcLa2Nd3 structure at the PBE level of DFT.

## Properties
- crystal system = orthorhombic
- symmetry = Cmcm, No. 63
- total moment (μB per formula unit) = 0.00
- distance to the lowest polymorph of the same formula (eV/atom) = 0.054
- formation energy from the elements (meV/atom) = 149
- Fermi-level density of states (states/eV/atom) = 1.15

Structure (extended XYZ):
```
12
Lattice="5.694 -5.635 0.000 5.694 5.635 0.000 0.000 0.000 6.965" Properties=species:S:1:pos:R:3 pbc="T T T"
Ac 5.694 4.471 5.224
Ac 5.694 -4.471 1.741
La 3.982 2.822 1.741
La 7.407 2.822 1.741
La 3.982 -2.822 5.224
La 7.407 -2.822 5.224
Nd 2.919 0.000 0.000
Nd 2.919 0.000 3.483
Nd 5.694 0.994 5.224
Nd 5.694 -0.994 1.741
Nd 8.470 0.000 0.000
Nd 8.470 0.000 3.483
```

No. 2
Computed, not measured: a geometry-optimized RbGe2F8 structure at the PBE level of DFT.

## Properties
- crystal system = monoclinic
- symmetry = C2/m, No. 12
- total moment (μB per formula unit) = 0.00
- formation energy from raw total energies (meV per atom) = -2304
- Fermi-level density of states (states/eV/atom) = 0.24

Structure (extended XYZ):
```
11
Lattice="5.629 -3.222 0.000 5.629 3.222 0.000 -0.011 0.000 5.352" Properties=species:S:1:pos:R:3 pbc="T T T"
Rb 0.000 0.000 0.000
Ge 3.058 0.000 2.635
Ge 8.189 0.000 2.716
F 3.848 1.928 2.101
F 2.523 0.000 0.918
F 7.399 1.928 3.251
F 4.292 0.000 3.936
F 6.956 0.000 1.416
F 3.848 -1.928 2.101
F 8.724 0.000 4.434
F 7.399 -1.928 3.251
```

No. 3
Computed, not measured: a geometry-optimized Tb2Be4Si3Ir structure at the PBE level of DFT.

## Properties
- crystal system = tetragonal
- symmetry = P-4m2, No. 115
- total moment (μB per formula unit) = 0.00
- formation energy from raw total energies (meV per atom) = -542
- Fermi-level density of states (states/eV/atom) = 0.45

Structure (extended XYZ):
```
10
Lattice="3.812 0.000 0.000 0.000 3.812 0.000 0.000 0.000 9.932" Properties=species:S:1:pos:R:3 pbc="T T T"
Tb 0.000 1.906 2.433
Tb 1.906 0.000 7.499
Be 0.000 0.000 0.000
Be 0.000 1.906 6.311
Be 1.906 0.000 3.621
Be 1.906 1.906 0.000
Si 0.000 1.906 8.622
Si 1.906 0.000 1.311
Si 1.906 1.906 4.966
Ir 0.000 0.000 4.966
```

No. 4
Computed, not measured: a geometry-optimized Mo2CN structure at the PBE level of DFT.

## Properties
- crystal system = tetragonal
- symmetry = I-42d, No. 122
- total moment (μB per formula unit) = 0.00
- distance to the lowest polymorph of the same formula (eV/atom) = 0.456
- formation energy from raw total energies (meV per atom) = 186
- Fermi-level density of states (states/eV/atom) = 1.16

Structure (extended XYZ):
```
16
Lattice="4.674 0.000 0.000 0.000 4.674 0.000 0.000 0.000 9.379" Properties=species:S:1:pos:R:3 pbc="T T T"
Mo 1.150 1.168 1.172
Mo 1.168 3.487 3.517
Mo 1.168 3.524 8.206
Mo 1.187 1.168 5.862
Mo 3.487 3.505 5.862
Mo 3.505 1.150 8.206
Mo 3.505 1.187 3.517
Mo 3.524 3.505 1.172
C 0.000 0.000 4.689
C 0.000 2.337 7.034
C 2.337 0.000 2.345
C 2.337 2.337 0.000
N 0.000 0.000 0.000
N 0.000 2.337 2.345
N 2.337 0.000 7.034
N 2.337 2.337 4.689
```

No. 5
Computed, not measured: a geometry-optimized Zn2Ga2Ni5Ge structure at the PBE level of DFT.

## Properties
- crystal system = tetragonal
- symmetry = P4/mbm, No. 127
- total moment (μB per formula unit) = 0.00
- formation energy from the elements (meV/atom) = -185
- Fermi-level density of states (states/eV/atom) = 0.55

Structure (extended XYZ):
```
20
Lattice="9.834 0.000 0.000 0.000 9.834 0.000 0.000 0.000 2.764" Properties=species:S:1:pos:R:3 pbc="T T T"
Zn 1.449 3.467 0.000
Zn 3.467 8.384 0.000
Zn 6.366 1.449 0.000
Zn 8.384 6.366 0.000
Ga 1.410 6.327 0.000
Ga 3.507 1.410 0.000
Ga 6.327 8.423 0.000
Ga 8.423 3.507 0.000
Ni 0.000 4.917 1.382
Ni 1.369 8.369 1.382
Ni 1.465 1.369 1.382
Ni 3.452 6.286 1.382
Ni 3.548 3.452 1.382
Ni 4.917 0.000 1.382
Ni 6.286 6.381 1.382
Ni 6.381 3.548 1.382
Ni 8.369 8.465 1.382
Ni 8.465 1.465 1.382
Ge 0.000 0.000 0.000
Ge 4.917 4.917 0.000
```

No. 6
Computed, not measured: a geometry-optimized K2BaPdF8 structure at the PBE level of DFT.

## Properties
- crystal system = trigonal
- symmetry = P-3m1, No. 164
- total moment (μB per formula unit) = 0.11
- formation energy from raw total energies (meV per atom) = -2372

Structure (extended XYZ):
```
12
Lattice="5.497 0.000 0.000 -2.748 4.760 0.000 0.000 0.000 7.702" Properties=species:S:1:pos:R:3 pbc="T T T"
K 0.000 3.174 2.545
K 2.748 1.587 5.157
Ba 0.000 0.000 0.000
Pd 0.000 0.000 3.851
F 0.000 1.527 5.070
F -1.426 3.997 5.070
F 1.323 0.764 2.632
F 0.000 3.174 0.088
F 2.748 1.587 7.614
F 1.426 3.997 5.070
F 4.174 0.764 2.632
F 2.748 3.233 2.632
```

No. 7
Computed, not measured: a geometry-optimized CsHg5S6 structure at the PBE level of DFT.

## Properties
- crystal system = triclinic
- symmetry = P-1, No. 2
- total moment (μB per formula unit) = 0.00
- formation energy from raw total energies (meV per atom) = -203
- Fermi-level density of states (states/eV/atom) = 0.12

Structure (extended XYZ):
```
12
Lattice="7.217 0.000 0.000 1.837 7.007 0.000 3.538 1.125 6.940" Properties=species:S:1:pos:R:3 pbc="T T T"
Cs 0.000 0.000 0.000
Hg 2.687 4.066 3.470
Hg 6.016 4.154 5.515
Hg 5.458 7.192 2.374
Hg 7.134 0.940 4.566
Hg 6.575 3.978 1.425
S 4.001 5.366 5.151
S 4.431 2.068 3.564
S 4.653 5.346 1.077
S 7.939 2.786 5.863
S 8.160 6.064 3.376
S 8.590 2.765 1.789
```

No. 8
Computed, not measured: a geometry-optimized Sr4MgZn2 structure at the PBE level of DFT.

## Properties
- crystal system = trigonal
- symmetry = R-3m, No. 166
- total moment (μB per formula unit) = 0.00
- distance to the lowest polymorph of the same formula (eV/atom) = 0.000
- formation energy from the elements (meV/atom) = -70
- Fermi-level density of states (states/eV/atom) = 0.87

Structure (extended XYZ):
```
7
Lattice="2.837 1.638 9.064 -2.837 1.638 9.064 0.000 -3.276 9.064" Properties=species:S:1:pos:R:3 pbc="T T T"
Sr 0.000 0.000 3.274
Sr 0.000 0.000 10.116
Sr 0.000 0.000 17.078
Sr 0.000 0.000 23.919
Mg 0.000 0.000 13.597
Zn 0.000 0.000 6.689
Zn 0.000 0.000 20.504
```